Entry one
DFT (PBE) results for crystalline Nb3Zn4 at its relaxed geometry.

Cell lengths 7.050, 4.497, 7.807 Å; angles 90.00, 112.75, 90.00 degrees
Element x y z (fractional)
Nb  0.015  0.250  0.243
Nb  0.154  0.250  0.958
Nb  0.278  0.750  0.173
Nb  0.722  0.250  0.827
Nb  0.846  0.750  0.042
Nb  0.985  0.750  0.757
Zn  0.123  0.750  0.466
Zn  0.283  0.250  0.657
Zn  0.415  0.750  0.877
Zn  0.457  0.250  0.404
Zn  0.543  0.750  0.596
Zn  0.585  0.250  0.123
Zn  0.717  0.750  0.343
Zn  0.877  0.250  0.534

Results
Spin magnetization ... 0.0 Bohr magnetons per cell

=====

Entry two
DFT (PBE) results for crystalline Nb3Zn4 at its relaxed geometry.

Cell lengths 7.510, 7.510, 4.609 Å; angles 90.00, 90.00, 120.00 degrees
Element x y z (fractional)
Nb  0.098  0.466  0.250
Nb  0.367  0.902  0.250
Nb  0.466  0.367  0.750
Nb  0.534  0.633  0.250
Nb  0.633  0.098  0.750
Nb  0.902  0.534  0.750
Zn  0.049  0.235  0.750
Zn  0.186  0.951  0.750
Zn  0.235  0.186  0.250
Zn  0.333  0.667  0.750
Zn  0.667  0.333  0.250
Zn  0.765  0.814  0.750
Zn  0.814  0.049  0.250
Zn  0.951  0.765  0.250

Results
Spin magnetization ... 0.0 Bohr magnetons per cell

=====

Each structure's energy above the most stable one, in meV/atom: entry one 50; entry two 0.

=====

Entry one
DFT (PBE) results for crystalline Nd at its relaxed geometry.

Cell lengths 6.254, 6.254, 3.541 Å; angles 90.00, 90.00, 90.00 degrees
Element x y z (fractional)
Nd  0.000  0.250  0.375
Nd  0.000  0.750  0.625
Nd  0.500  0.250  0.125
Nd  0.500  0.750  0.875

Results
Spin magnetization ... 0.0 Bohr magnetons per cell

=====

Entry two
DFT (PBE) results for crystalline Nd at its relaxed geometry.

Cell lengths 4.399, 4.399, 6.287 Å; angles 90.00, 90.00, 120.00 degrees
Element x y z (fractional)
Nd  0.000  0.330  0.167
Nd  0.330  0.000  0.833
Nd  0.670  0.670  0.500

Results
Spin magnetization ... 1.5 Bohr magnetons per cell

=====

Each structure's energy above the most stable one, in meV/atom: entry one 0; entry two 212.

=====

Entry one
DFT (PBE) results for crystalline NdNiSn2Pd at its relaxed geometry.

Cell lengths 4.515, 4.515, 10.377 Å; angles 90.00, 90.00, 90.00 degrees
Element x y z (fractional)
Nd  0.250  0.250  0.249
Nd  0.750  0.750  0.751
Ni  0.250  0.250  0.619
Ni  0.750  0.750  0.381
Sn  0.250  0.250  0.859
Sn  0.250  0.750  0.500
Sn  0.750  0.250  0.500
Sn  0.750  0.750  0.141
Pd  0.250  0.750  0.000
Pd  0.750  0.250  0.000

Results
Spin magnetization ... 0.0 Bohr magnetons per cell

=====

Entry two
DFT (PBE) results for crystalline NdNiSn2Pd at its relaxed geometry.

Cell lengths 4.468, 4.468, 10.807 Å; angles 90.00, 90.00, 90.00 degrees
Element x y z (fractional)
Nd  0.250  0.250  0.230
Nd  0.750  0.750  0.770
Ni  0.250  0.750  0.000
Ni  0.750  0.250  0.000
Sn  0.250  0.250  0.886
Sn  0.250  0.750  0.500
Sn  0.750  0.250  0.500
Sn  0.750  0.750  0.114
Pd  0.250  0.250  0.644
Pd  0.750  0.750  0.356

Results
Spin magnetization ... 0.0 Bohr magnetons per cell

=====

Each structure's energy above the most stable one, in meV/atom: entry one 0; entry two 32.

=====

Entry one
DFT (PBE) results for crystalline Pr3Nd3NiTe2 at its relaxed geometry.

Cell lengths 8.727, 8.727, 4.019 Å; angles 90.00, 90.00, 120.00 degrees
Element x y z (fractional)
Pr  0.000  0.414  0.000
Pr  0.414  0.000  0.000
Pr  0.586  0.586  0.000
Nd  0.000  0.761  0.500
Nd  0.239  0.239  0.500
Nd  0.761  0.000  0.500
Ni  0.000  0.000  0.000
Te  0.333  0.667  0.500
Te  0.667  0.333  0.500

Results
Spin magnetization ... 0.0 Bohr magnetons per cell

=====

Entry two
DFT (PBE) results for crystalline Pr3Nd3NiTe2 at its relaxed geometry.

Cell lengths 8.744, 8.744, 4.002 Å; angles 90.00, 90.00, 120.00 degrees
Element x y z (fractional)
Pr  0.000  0.760  0.000
Pr  0.240  0.240  0.000
Pr  0.760  0.000  0.000
Nd  0.000  0.414  0.500
Nd  0.414  0.000  0.500
Nd  0.586  0.586  0.500
Ni  0.000  0.000  0.500
Te  0.333  0.667  0.000
Te  0.667  0.333  0.000

Results
Spin magnetization ... 0.0 Bohr magnetons per cell

=====

Each structure's energy above the most stable one, in meV/atom: entry one 0; entry two 13.

=====

Entry one
DFT (PBE) results for crystalline NdNi2SnSb at its relaxed geometry.

Cell lengths 4.418, 4.418, 10.065 Å; angles 90.00, 90.00, 90.00 degrees
Element x y z (fractional)
Nd  0.250  0.250  0.240
Nd  0.750  0.750  0.760
Ni  0.250  0.250  0.626
Ni  0.250  0.750  0.000
Ni  0.750  0.250  0.000
Ni  0.750  0.750  0.374
Sn  0.250  0.750  0.500
Sn  0.750  0.250  0.500
Sb  0.250  0.250  0.873
Sb  0.750  0.750  0.127

Results
Spin magnetization ... 0.0 Bohr magnetons per cell

=====

Entry two
DFT (PBE) results for crystalline NdNi2SnSb at its relaxed geometry.

Cell lengths 4.496, 4.496, 9.949 Å; angles 90.00, 90.00, 90.00 degrees
Element x y z (fractional)
Nd  0.250  0.250  0.239
Nd  0.750  0.750  0.761
Ni  0.250  0.250  0.621
Ni  0.250  0.750  0.000
Ni  0.750  0.250  0.000
Ni  0.750  0.750  0.379
Sn  0.250  0.250  0.875
Sn  0.750  0.750  0.125
Sb  0.250  0.750  0.500
Sb  0.750  0.250  0.500

Results
Spin magnetization ... 0.0 Bohr magnetons per cell

=====

Each structure's energy above the most stable one, in meV/atom: entry one 0; entry two 87.

=====

Entry one
DFT (PBE) results for crystalline Nd3Sm3NiTe2 at its relaxed geometry.

Cell lengths 8.627, 8.627, 3.995 Å; angles 90.00, 90.00, 120.00 degrees
Element x y z (fractional)
Nd  0.000  0.412  0.000
Nd  0.412  0.000  0.000
Nd  0.588  0.588  0.000
Sm  0.000  0.762  0.500
Sm  0.238  0.238  0.500
Sm  0.762  0.000  0.500
Ni  0.000  0.000  0.000
Te  0.333  0.667  0.500
Te  0.667  0.333  0.500

Results
Spin magnetization ... 0.0 Bohr magnetons per cell

=====

Entry two
DFT (PBE) results for crystalline Nd3Sm3NiTe2 at its relaxed geometry.

Cell lengths 8.648, 8.648, 3.971 Å; angles 90.00, 90.00, 120.00 degrees
Element x y z (fractional)
Nd  0.000  0.761  0.000
Nd  0.239  0.239  0.000
Nd  0.761  0.000  0.000
Sm  0.000  0.414  0.500
Sm  0.414  0.000  0.500
Sm  0.586  0.586  0.500
Ni  0.000  0.000  0.500
Te  0.333  0.667  0.000
Te  0.667  0.333  0.000

Results
Spin magnetization ... 0.0 Bohr magnetons per cell

=====

Each structure's energy above the most stable one, in meV/atom: entry one 0; entry two 27.

=====

Entry one
DFT (PBE) results for crystalline NdTmNi4 at its relaxed geometry.

Cell lengths 5.397, 5.397, 7.963 Å; angles 90.00, 90.00, 120.00 degrees
Element x y z (fractional)
Nd  0.000  0.000  0.000
Nd  0.000  0.000  0.500
Tm  0.333  0.667  0.000
Tm  0.667  0.333  0.000
Ni  0.000  0.500  0.270
Ni  0.000  0.500  0.730
Ni  0.333  0.667  0.500
Ni  0.500  0.000  0.270
Ni  0.500  0.000  0.730
Ni  0.500  0.500  0.270
Ni  0.500  0.500  0.730
Ni  0.667  0.333  0.500

Results
Spin magnetization ... 0.0 Bohr magnetons per cell

=====

Entry two
DFT (PBE) results for crystalline NdTmNi4 at its relaxed geometry.

Cell lengths 5.072, 5.072, 5.072 Å; angles 60.00, 60.00, 60.00 degrees
Element x y z (fractional)
Nd  0.000  0.000  0.000
Tm  0.250  0.250  0.250
Ni  0.129  0.624  0.624
Ni  0.624  0.129  0.624
Ni  0.624  0.624  0.129
Ni  0.624  0.624  0.624

Results
Spin magnetization ... 0.0 Bohr magnetons per cell

=====

Each structure's energy above the most stable one, in meV/atom: entry one 335; entry two 0.

=====

Entry one
DFT (PBE) results for crystalline NdZrNi at its relaxed geometry.

Cell lengths 6.582, 6.582, 6.582 Å; angles 90.00, 90.00, 90.00 degrees
Element x y z (fractional)
Nd  0.000  0.000  0.000
Nd  0.000  0.500  0.500
Nd  0.500  0.000  0.500
Nd  0.500  0.500  0.000
Zr  0.000  0.000  0.500
Zr  0.000  0.500  0.000
Zr  0.500  0.000  0.000
Zr  0.500  0.500  0.500
Ni  0.250  0.250  0.250
Ni  0.250  0.750  0.750
Ni  0.750  0.250  0.750
Ni  0.750  0.750  0.250

Results
Spin magnetization ... 0.2 Bohr magnetons per cell

=====

Entry two
DFT (PBE) results for crystalline NdZrNi at its relaxed geometry.

Cell lengths 6.492, 6.492, 6.492 Å; angles 90.00, 90.00, 90.00 degrees
Element x y z (fractional)
Nd  0.000  0.000  0.000
Nd  0.000  0.500  0.500
Nd  0.500  0.000  0.500
Nd  0.500  0.500  0.000
Zr  0.250  0.250  0.250
Zr  0.250  0.750  0.750
Zr  0.750  0.250  0.750
Zr  0.750  0.750  0.250
Ni  0.250  0.250  0.750
Ni  0.250  0.750  0.250
Ni  0.750  0.250  0.250
Ni  0.750  0.750  0.750

Results
Spin magnetization ... 0.0 Bohr magnetons per cell

=====

Each structure's energy above the most stable one, in meV/atom: entry one 0; entry two 747.